First-principles (GGA+U) data for FeP2ClO after structural relaxation, as listed in Alexandria via LeMat-Bulk.

```
5
Lattice="-4.2045 1.1722 -1.0553 -1.4791 -1.8866 3.7972 0.5951 4.2396 2.3381" Properties=species:S:1:pos:R:3 pbc="T T T"
Cl 0.2975 2.1198 1.1691
P -0.7395 -0.9433 1.8986
O -2.5443 1.7626 2.5400
Fe 0.0000 0.0000 0.0000
P -2.1023 0.5861 -0.5277
```

Polymorph energy (0 for the lowest one), eV per atom: 0.6092
Symmetry: P4/mmm, No. 123
Calculated volume, Å³ per cell: 98.37
Theoretical density, g/cm3: 2.857
VASP energy, eV/cell: -17.817
Crystal system: tetragonal